[1]
Li2PmIn2 after structural relaxation, computed with PBE.

a b c (Å): 4.8542 5.1091 9.9301
angles (deg): 75.67 90.00 90.00
With the nearest neighbours (Å) after each atom.
Element x y z (fractional)
In (0.7500, 0.9658, 0.0869)  2 In 2.95, 3 Li 3.01-3.21, 2 Pm 3.18
In (0.2500, 0.2589, 0.4829)  4 Li 3.00-3.32, 4 Pm 3.09-3.20
In (0.2500, 0.0342, 0.9131)  2 In 2.95, 3 Li 3.01-3.21, 2 Pm 3.18
In (0.7500, 0.7411, 0.5171)  4 Li 3.00-3.32, 4 Pm 3.09-3.20
Li (0.2500, 0.4510, 0.0805)  4 Li 2.88-3.21, 2 In 3.01-3.03
Li (0.7500, 0.3484, 0.2991)  6 In 3.00-3.33, 2 Li 3.21
Li (0.2500, 0.6516, 0.7009)  6 In 3.00-3.33, 2 Li 3.21
Li (0.7500, 0.5490, 0.9195)  4 Li 2.88-3.21, 2 In 3.01-3.03
Pm (0.2500, 0.8469, 0.3010)  6 In 3.09-3.20, 2 Li 3.31-3.33
Pm (0.7500, 0.1531, 0.6990)  6 In 3.09-3.20, 2 Li 3.31-3.33

## Properties
SG: P2_1/m
Electronic total energy in eV for the cell shown: -31.31
Offset from the most stable computed form in kJ per mole of atoms: 0.00

[2]
Ga2CuCl after structural relaxation, computed with PBE.

a b c (Å): 4.8426 4.8426 4.8426
angles (deg): 60.00 60.00 60.00
With the nearest neighbours (Å) after each atom.
Element x y z (fractional)
Ga (0.2500, 0.2500, 0.2500)  4 Cu 2.97, 4 Cl 2.97
Ga (0.7500, 0.7500, 0.7500)  4 Cl 2.97, 4 Cu 2.97
Cu (0.5000, 0.5000, 0.5000)  8 Ga 2.97
Cl (0.0000, 0.0000, 0.0000)  8 Ga 2.97

## Properties
SG: Fm-3m
Electronic total energy in eV for the cell shown: -11.61
E_form (uncorrected) in eV per atom: 0.097
Offset from the most stable computed form in kJ per mole of atoms: 12.61

[3]
KEu2O after structural relaxation, computed with PBE.

a b c (Å): 3.7686 3.7686 10.8737
angles (deg): 80.02 80.02 60.00
With the nearest neighbours (Å) after each atom.
Element x y z (fractional)
Eu (0.8761, 0.8761, 0.3716)  3 O 2.57
Eu (0.1239, 0.1239, 0.6284)  3 O 2.57
K (0.0000, 0.0000, 0.0000)  6 K 3.77, 2 Eu 3.96
O (0.5000, 0.5000, 0.5000)  6 Eu 2.57

## Properties
SG: R-3m
Electronic total energy in eV for the cell shown: -31.27
E_form (uncorrected) in eV per atom: -1.166

| no. | Fermi-level density of states (states/eV per cell) | spin magnetization (μB/f.u.) |
| --- | --- | --- |
| 1 | 2.644 | 0.000 |
| 2 | 0.745 | 0.000 |
| 3 | 3.975 | 15.478 |